Density functional theory data (PBE) for a relaxed structure of Bi2BPd6.

```
Bi2BPd6
1.0
-3.3460 -0.6058 -0.8043
-0.4247 -4.8184 5.3959
0.0770 7.3660 1.7176
Bi B Pd
2 1 6
Cartesian
-2.4029 -1.3682 3.4551 Bi
-1.2907 3.3100 2.8541 Bi
0.0000 0.0000 0.0000 B
-0.6736 0.5992 2.3576 Pd
-2.7591 4.3038 0.6355 Pd
-3.0201 1.3425 3.9517 Pd
-1.7510 -1.1877 0.5887 Pd
-0.9346 -2.3621 5.6738 Pd
-2.0197 -4.2365 4.0029 Pd
```

Computed properties:
Energy of formation, eV per atom: -0.15
Space-group type: Immm (71)
Magnetization, μB/atom: 0.000